BH5Br2 after structural relaxation. Source: Alexandria via LeMat-Bulk, functional GGA-PBE. Values from VASP.

Quantum ESPRESSO input file:
```
&SYSTEM
  ibrav = 0, nat = 8, ntyp = 3
/
ATOMIC_SPECIES
B 10.81 B.upf
H 1.01 H.upf
Br 79.90 Br.upf
CELL_PARAMETERS angstrom
4.9086 0.0000 0.0000
1.3779 4.7435 0.0000
0.3246 1.5824 6.5238
ATOMIC_POSITIONS angstrom
B 0.0000 0.0000 0.0000
H 2.4767 4.4317 0.3740
H 4.3747 0.9688 0.7820
H 5.3830 4.1633 0.5673
H 5.0200 1.7875 5.3599
H 5.0162 1.3155 0.3376
Br 2.5768 1.8491 2.9719
Br 3.7249 4.2989 3.6314
```

Output
Density   1.92 g/cm³
Magnetization   0.000 μB per cell
E   -3.3082 eV per atom
Space-group type   P1, No. 1

---

BH2Br after structural relaxation. Source: Alexandria via LeMat-Bulk, functional GGA-PBE. Values from VASP.

Quantum ESPRESSO input file:
```
&SYSTEM
  ibrav = 0, nat = 4, ntyp = 3
/
ATOMIC_SPECIES
B 10.81 B.upf
H 1.01 H.upf
Br 79.90 Br.upf
CELL_PARAMETERS angstrom
0.0000 2.7065 2.7065
2.7065 0.0000 2.7065
2.7065 2.7065 0.0000
ATOMIC_POSITIONS angstrom
B 0.0000 0.0000 0.0000
H 1.3532 1.3532 1.3532
H 4.0597 4.0597 4.0597
Br 2.7065 2.7065 2.7065
```

Output
Density   3.88 g/cm³
N(E_F)   1.573 states/eV per cell
Magnetization   0.000 μB per cell
E   -1.9520 eV per atom
Space-group type   Fm-3m, No. 225

---

B3HBr after structural relaxation. Source: Alexandria via LeMat-Bulk, functional GGA-PBE. Values from VASP.

Quantum ESPRESSO input file:
```
&SYSTEM
  ibrav = 0, nat = 5, ntyp = 3
/
ATOMIC_SPECIES
B 10.81 B.upf
H 1.01 H.upf
Br 79.90 Br.upf
CELL_PARAMETERS angstrom
3.7171 0.0000 0.0000
0.0000 3.7171 0.0000
0.0000 0.0000 3.7171
ATOMIC_POSITIONS angstrom
B 0.0000 0.0000 1.8586
B 0.0000 1.8586 0.0000
B 1.8586 0.0000 0.0000
H 0.0000 0.0000 0.0000
Br 1.8586 1.8586 1.8586
```

Output
Density   3.66 g/cm³
N(E_F)   2.054 states/eV per cell
Magnetization   0.000 μB per cell
E   -2.6917 eV per atom
Space-group type   Pm-3m, No. 221

---

BH3Br3 after structural relaxation. Source: Alexandria via LeMat-Bulk, functional GGA-PBE. Values from VASP.

Quantum ESPRESSO input file:
```
&SYSTEM
  ibrav = 0, nat = 14, ntyp = 3
/
ATOMIC_SPECIES
B 10.81 B.upf
H 1.01 H.upf
Br 79.90 Br.upf
CELL_PARAMETERS angstrom
8.7252 0.0000 0.0000
0.0000 4.6079 0.0000
-3.8818 0.0000 8.0489
ATOMIC_POSITIONS angstrom
B 0.9254 1.1520 2.4307
B 3.9179 3.4559 5.6182
H -0.2642 1.1520 2.5297
H 1.4122 1.1520 1.2586
H 1.6773 1.1520 3.3572
H 3.1660 3.4559 4.6918
H 3.4311 3.4559 6.7903
H 5.1075 3.4559 5.5192
Br -1.0190 1.1520 6.1102
Br 1.3357 3.4559 1.4718
Br -0.1739 3.4559 5.8100
Br 5.0173 1.1520 2.2389
Br 3.5076 1.1520 6.5771
Br 5.8623 3.4559 1.9387
```

Output
Density   2.60 g/cm³
N(E_F)   5.806 states/eV per cell
Magnetization   0.328 μB per cell
E   -2.9405 eV per atom
Space-group type   P2_1/m, No. 11

---

BH3Br after structural relaxation. Source: Alexandria via LeMat-Bulk, functional GGA-PBE. Values from VASP.

Quantum ESPRESSO input file:
```
&SYSTEM
  ibrav = 0, nat = 10, ntyp = 3
/
ATOMIC_SPECIES
B 10.81 B.upf
H 1.01 H.upf
Br 79.90 Br.upf
CELL_PARAMETERS angstrom
3.0947 1.7867 3.6543
-3.0947 1.7867 3.6543
0.0000 -3.5735 3.6543
ATOMIC_POSITIONS angstrom
B 0.0000 0.0000 1.6087
B 0.0000 0.0000 9.3541
H -2.0781 -1.1998 6.0749
H 0.0000 -2.3996 4.8879
H -2.0781 1.1998 4.8879
H 2.0781 -1.1998 6.0749
H 0.0000 2.3996 6.0749
H 2.0781 1.1998 4.8879
Br 0.0000 0.0000 3.5956
Br 0.0000 0.0000 7.3672
```

Output
Density   2.57 g/cm³
N(E_F)   6.640 states/eV per cell
Magnetization   0.224 μB per cell
E   -3.4853 eV per atom
Space-group type   R-3m, No. 166

---

BH6Br2 after structural relaxation. Source: Alexandria via LeMat-Bulk, functional GGA-PBE. Values from VASP.

Quantum ESPRESSO input file:
```
&SYSTEM
  ibrav = 0, nat = 9, ntyp = 3
/
ATOMIC_SPECIES
B 10.81 B.upf
H 1.01 H.upf
Br 79.90 Br.upf
CELL_PARAMETERS angstrom
4.8642 -2.8517 0.0000
4.8642 2.8517 0.0000
-0.2947 0.0000 4.8292
ATOMIC_POSITIONS angstrom
B 0.0000 0.0000 0.0000
H 4.2619 2.0017 0.6319
H 0.9642 0.0000 0.9082
H 5.1718 2.0017 4.1973
H 4.2619 -2.0017 0.6319
H 8.4694 0.0000 3.9211
H 5.1718 -2.0017 4.1973
Br 2.4672 0.0000 2.3185
Br 6.9665 0.0000 2.5107
```

Output
Density   2.19 g/cm³
N(E_F)   1.566 states/eV per cell
Magnetization   0.191 μB per cell
E   -3.0607 eV per atom
Space-group type   C2/m, No. 12

---

BH2Br after structural relaxation. Source: Alexandria via LeMat-Bulk, functional GGA-PBE. Values from VASP.

Quantum ESPRESSO input file:
```
&SYSTEM
  ibrav = 0, nat = 16, ntyp = 3
/
ATOMIC_SPECIES
B 10.81 B.upf
H 1.01 H.upf
Br 79.90 Br.upf
CELL_PARAMETERS angstrom
6.1038 0.0000 0.0000
0.0000 11.5138 0.0000
0.0000 0.0000 3.7754
ATOMIC_POSITIONS angstrom
B 0.7844 0.0247 0.0000
B 2.2675 5.7816 1.8877
B 3.8363 5.7322 0.0000
B 5.3193 11.4891 1.8877
H 0.3843 0.1535 1.3095
H 1.2241 1.1210 3.6059
H 1.8278 6.8779 1.7182
H 2.6676 5.9104 3.1972
H 3.4362 5.6034 1.3095
H 4.2760 4.6359 3.6059
H 4.8797 10.3928 1.7182
H 5.7195 11.3603 3.1972
Br 1.1818 4.2017 1.7248
Br 1.8701 9.9586 3.6125
Br 4.2336 1.5553 1.7248
Br 4.9220 7.3122 3.6125
```

Output
Density   2.32 g/cm³
N(E_F)   0.000 states/eV per cell
Magnetization   0.000 μB per cell
E   -3.8767 eV per atom
Space-group type   Pna2_1, No. 33

---

B2HBr after structural relaxation. Source: Alexandria via LeMat-Bulk, functional GGA-PBE. Values from VASP.

Quantum ESPRESSO input file:
```
&SYSTEM
  ibrav = 0, nat = 8, ntyp = 3
/
ATOMIC_SPECIES
B 10.81 B.upf
H 1.01 H.upf
Br 79.90 Br.upf
CELL_PARAMETERS angstrom
-1.5690 1.5690 11.2739
1.5690 -1.5690 11.2739
1.5690 1.5690 -11.2739
ATOMIC_POSITIONS angstrom
B 0.0000 0.0000 0.0000
B 0.7845 0.7845 -5.6370
B 0.7845 -0.7845 5.6370
B 0.0000 1.5690 0.0000
H 1.5690 -0.7845 8.4554
H 0.0000 2.3535 2.8185
Br 1.5690 0.7845 2.8185
Br 0.0000 0.7845 8.4554
```

Output
Density   3.07 g/cm³
N(E_F)   2.296 states/eV per cell
Magnetization   0.000 μB per cell
E   -3.4892 eV per atom
Space-group type   I4_1/amd, No. 141

---

BH3Br after structural relaxation. Source: Alexandria via LeMat-Bulk, functional GGA-PBE. Values from VASP.

Quantum ESPRESSO input file:
```
&SYSTEM
  ibrav = 0, nat = 10, ntyp = 3
/
ATOMIC_SPECIES
B 10.81 B.upf
H 1.01 H.upf
Br 79.90 Br.upf
CELL_PARAMETERS angstrom
4.7352 0.0000 0.0000
0.3150 5.0519 0.0000
0.6599 1.6507 7.1312
ATOMIC_POSITIONS angstrom
B 0.7822 1.9125 0.0574
B 4.9279 4.7900 7.0738
H 0.7990 3.2141 0.3369
H 2.1571 3.3422 6.2615
H 2.6668 3.0537 3.4336
H 3.0433 3.6488 3.6975
H 3.5530 3.3603 0.8697
H 4.9111 3.4884 6.7943
Br 1.0246 0.8993 1.7019
Br 4.6855 5.8032 5.4293
```

Output
Density   1.82 g/cm³
N(E_F)   0.000 states/eV per cell
Magnetization   0.000 μB per cell
E   -3.8660 eV per atom
Space-group type   P-1, No. 2

---

B3HBr after structural relaxation. Source: Alexandria via LeMat-Bulk, functional GGA-PBE. Values from VASP.

Quantum ESPRESSO input file:
```
&SYSTEM
  ibrav = 0, nat = 5, ntyp = 3
/
ATOMIC_SPECIES
B 10.81 B.upf
H 1.01 H.upf
Br 79.90 Br.upf
CELL_PARAMETERS angstrom
4.2860 0.0000 0.0000
0.0000 4.2860 0.0000
0.0000 0.0000 4.2860
ATOMIC_POSITIONS angstrom
B 0.0000 0.0000 2.1430
B 0.0000 2.1430 0.0000
B 2.1430 0.0000 0.0000
H 2.1430 2.1430 2.1430
Br 0.0000 0.0000 0.0000
```

Output
Density   2.39 g/cm³
N(E_F)   2.617 states/eV per cell
Magnetization   0.000 μB per cell
E   -1.8608 eV per atom
Space-group type   Pm-3m, No. 221

---

B2H4Br after structural relaxation. Source: Alexandria via LeMat-Bulk, functional GGA-PBE. Values from VASP.

Quantum ESPRESSO input file:
```
&SYSTEM
  ibrav = 0, nat = 7, ntyp = 3
/
ATOMIC_SPECIES
B 10.81 B.upf
H 1.01 H.upf
Br 79.90 Br.upf
CELL_PARAMETERS angstrom
-2.0735 2.0735 5.3344
2.0735 -2.0735 5.3344
2.0735 2.0735 -5.3344
ATOMIC_POSITIONS angstrom
B 0.0000 0.0000 0.7535
B 0.0000 0.0000 9.9152
H 2.0735 0.0000 0.0000
H 0.0000 0.0000 1.9356
H 0.0000 2.0735 0.0000
H 0.0000 0.0000 8.7331
Br 0.0000 0.0000 5.3344
```

Output
Density   1.91 g/cm³
N(E_F)   1.990 states/eV per cell
Magnetization   0.000 μB per cell
E   -3.2988 eV per atom
Space-group type   I4/mmm, No. 139

---

B2HBr after structural relaxation. Source: Alexandria via LeMat-Bulk, functional GGA-PBE. Values from VASP.

Quantum ESPRESSO input file:
```
&SYSTEM
  ibrav = 0, nat = 4, ntyp = 3
/
ATOMIC_SPECIES
B 10.81 B.upf
H 1.01 H.upf
Br 79.90 Br.upf
CELL_PARAMETERS angstrom
0.0000 2.7747 2.7747
2.7747 0.0000 2.7747
2.7747 2.7747 0.0000
ATOMIC_POSITIONS angstrom
B 1.3874 1.3874 1.3874
B 4.1621 4.1621 4.1621
H 0.0000 0.0000 0.0000
Br 2.7747 2.7747 2.7747
```

Output
Density   3.99 g/cm³
N(E_F)   1.635 states/eV per cell
Magnetization   0.000 μB per cell
E   -2.2823 eV per atom
Space-group type   Fm-3m, No. 225

---

B2HBr8 after structural relaxation. Source: Alexandria via LeMat-Bulk, functional GGA-PBE. Values from VASP.

Quantum ESPRESSO input file:
```
&SYSTEM
  ibrav = 0, nat = 11, ntyp = 3
/
ATOMIC_SPECIES
B 10.81 B.upf
H 1.01 H.upf
Br 79.90 Br.upf
CELL_PARAMETERS angstrom
6.0501 -4.5815 0.0000
6.0501 4.5815 0.0000
-1.5987 0.0000 6.6604
ATOMIC_POSITIONS angstrom
B 2.1025 0.0000 2.1074
B 8.3989 0.0000 4.5530
H 0.0000 0.0000 0.0000
Br 3.3057 3.0221 5.4903
Br 1.6999 0.0000 4.0647
Br 7.1957 3.0221 1.1701
Br 4.0500 0.0000 1.7475
Br 6.4515 0.0000 4.9129
Br 3.3057 -3.0221 5.4903
Br 8.8015 0.0000 2.5957
Br 7.1957 -3.0221 1.1701
```

Output
Density   2.98 g/cm³
N(E_F)   12.407 states/eV per cell
Magnetization   0.000 μB per cell
E   -2.8860 eV per atom
Space-group type   C2/m, No. 12

---

HgB2HBr after structural relaxation. Source: Alexandria via LeMat-Bulk, functional GGA-PBE. Values from VASP.

Quantum ESPRESSO input file:
```
&SYSTEM
  ibrav = 0, nat = 5, ntyp = 4
/
ATOMIC_SPECIES
Hg 200.59 Hg.upf
B 10.81 B.upf
H 1.01 H.upf
Br 79.90 Br.upf
CELL_PARAMETERS angstrom
4.6494 0.0000 0.0000
0.0000 4.6494 0.0000
0.0000 0.0000 3.2664
ATOMIC_POSITIONS angstrom
Hg 0.0000 0.0000 0.0000
B 0.0000 2.3247 1.6332
B 2.3247 0.0000 1.6332
H 2.3247 2.3247 0.0000
Br 2.3247 2.3247 1.6332
```

Output
Density   7.13 g/cm³
N(E_F)   2.021 states/eV per cell
Magnetization   0.000 μB per cell
E   -1.9654 eV per atom
Space-group type   P4/mmm, No. 123

---

Nd4BHBr2 after structural relaxation. Source: Alexandria via LeMat-Bulk, functional GGA-PBE. Values from VASP.

Quantum ESPRESSO input file:
```
&SYSTEM
  ibrav = 0, nat = 8, ntyp = 4
/
ATOMIC_SPECIES
Nd 144.24 Nd.upf
B 10.81 B.upf
H 1.01 H.upf
Br 79.90 Br.upf
CELL_PARAMETERS angstrom
6.6266 0.0000 0.0000
0.0000 3.9395 0.0000
-2.1401 0.0000 7.4524
ATOMIC_POSITIONS angstrom
Nd 1.1552 0.0000 1.3635
Nd -0.0043 1.9698 5.9620
Nd 4.4908 1.9698 1.4904
Nd 3.3312 0.0000 6.0889
B 0.0000 1.9698 0.0000
H 3.3133 0.0000 0.0000
Br -1.0701 0.0000 3.7262
Br 2.2432 1.9698 3.7262
```

Output
Density   6.39 g/cm³
N(E_F)   3.518 states/eV per cell
Magnetization   0.000 μB per cell
E   -4.8159 eV per atom
Space-group type   P2/m, No. 10

---

BH2OsBr after structural relaxation. Source: Alexandria via LeMat-Bulk, functional GGA-PBE. Values from VASP.

Quantum ESPRESSO input file:
```
&SYSTEM
  ibrav = 0, nat = 5, ntyp = 4
/
ATOMIC_SPECIES
B 10.81 B.upf
H 1.01 H.upf
Os 190.23 Os.upf
Br 79.90 Br.upf
CELL_PARAMETERS angstrom
3.1438 0.0000 0.0000
0.0000 3.1438 0.0000
0.0000 0.0000 7.1325
ATOMIC_POSITIONS angstrom
B 0.0000 0.0000 0.0000
H 0.0000 1.5719 3.5662
H 1.5719 0.0000 3.5662
Os 1.5719 1.5719 0.0000
Br 0.0000 0.0000 3.5662
```

Output
Density   6.67 g/cm³
N(E_F)   2.077 states/eV per cell
Magnetization   0.000 μB per cell
E   -4.1806 eV per atom
Space-group type   P4/mmm, No. 123

---

B2HPdBr after structural relaxation. Source: Alexandria via LeMat-Bulk, functional GGA-PBE. Values from VASP.

Quantum ESPRESSO input file:
```
&SYSTEM
  ibrav = 0, nat = 5, ntyp = 4
/
ATOMIC_SPECIES
B 10.81 B.upf
H 1.01 H.upf
Pd 106.42 Pd.upf
Br 79.90 Br.upf
CELL_PARAMETERS angstrom
4.1498 0.0000 0.0000
0.0000 4.1498 0.0000
0.0000 0.0000 4.9474
ATOMIC_POSITIONS angstrom
B 0.0000 2.0749 0.0000
B 2.0749 0.0000 0.0000
H 0.0000 0.0000 2.4737
Pd 2.0749 2.0749 2.4737
Br 2.0749 2.0749 0.0000
```

Output
Density   4.07 g/cm³
N(E_F)   2.406 states/eV per cell
Magnetization   0.000 μB per cell
E   -2.3070 eV per atom
Space-group type   P4/mmm, No. 123

---

Pm4BHBr2 after structural relaxation. Source: Alexandria via LeMat-Bulk, functional GGA-PBE. Values from VASP.

Quantum ESPRESSO input file:
```
&SYSTEM
  ibrav = 0, nat = 8, ntyp = 4
/
ATOMIC_SPECIES
Pm 145.00 Pm.upf
B 10.81 B.upf
H 1.01 H.upf
Br 79.90 Br.upf
CELL_PARAMETERS angstrom
6.5669 0.0000 0.0000
0.0000 3.9138 0.0000
-2.1267 0.0000 7.3845
ATOMIC_POSITIONS angstrom
Pm 1.1429 0.0000 1.3441
Pm -0.0079 1.9569 5.9103
Pm 4.4480 1.9569 1.4742
Pm 3.2973 0.0000 6.0404
B 0.0000 1.9569 0.0000
H 3.2834 0.0000 0.0000
Br -1.0634 0.0000 3.6922
Br 2.2201 1.9569 3.6922
```

Output
Density   6.58 g/cm³
N(E_F)   3.402 states/eV per cell
Magnetization   0.000 μB per cell
E   -4.8108 eV per atom
Space-group type   P2/m, No. 10

---

Pr4BHBr2 after structural relaxation. Source: Alexandria via LeMat-Bulk, functional GGA-PBE. Values from VASP.

Quantum ESPRESSO input file:
```
&SYSTEM
  ibrav = 0, nat = 8, ntyp = 4
/
ATOMIC_SPECIES
Pr 140.91 Pr.upf
B 10.81 B.upf
H 1.01 H.upf
Br 79.90 Br.upf
CELL_PARAMETERS angstrom
6.6881 0.0000 0.0000
0.0000 3.9673 0.0000
-2.1549 0.0000 7.5208
ATOMIC_POSITIONS angstrom
Pr 1.1682 0.0000 1.3827
Pr -0.0018 1.9836 6.0129
Pr 4.5350 1.9836 1.5079
Pr 3.3651 0.0000 6.1380
B 0.0000 1.9836 0.0000
H 3.3441 0.0000 0.0000
Br -1.0774 0.0000 3.7604
Br 2.2666 1.9836 3.7604
```

Output
Density   6.12 g/cm³
N(E_F)   3.574 states/eV per cell
Magnetization   0.000 μB per cell
E   -4.8204 eV per atom
Space-group type   P2/m, No. 10

---

Rb3B12H12Br after structural relaxation. Source: Alexandria via LeMat-Bulk, functional GGA-PBE. Values from VASP.

Quantum ESPRESSO input file:
```
&SYSTEM
  ibrav = 0, nat = 28, ntyp = 4
/
ATOMIC_SPECIES
Rb 85.47 Rb.upf
B 10.81 B.upf
H 1.01 H.upf
Br 79.90 Br.upf
CELL_PARAMETERS angstrom
5.1309 2.9623 3.8592
-5.1309 2.9623 3.8592
0.0000 -5.9246 3.8592
ATOMIC_POSITIONS angstrom
Rb -2.5654 -1.4811 3.8592
Rb -2.5654 1.4811 7.7183
Rb 0.0000 2.9623 3.8591
B 0.0000 -1.0248 1.3447
B -0.8875 0.5124 1.3447
B 0.0000 -4.2633 4.1779
B -3.6922 2.1317 4.1779
B -3.6922 -2.1317 7.3995
B 0.8875 0.5124 1.3448
B -0.8875 -0.5124 10.2327
B 3.6922 2.1317 4.1779
B 3.6922 -2.1317 7.3995
B 0.0000 4.2633 7.3995
B 0.8875 -0.5124 10.2327
B 0.0000 1.0248 10.2327
H 0.0000 -1.7566 2.2982
H -1.5212 0.8783 2.2982
H 0.0000 -3.0805 4.4162
H -2.6678 1.5402 4.4162
H -2.6678 -1.5402 7.1613
H 1.5212 0.8783 2.2982
H -1.5212 -0.8783 9.2793
H 2.6678 1.5402 4.4162
H 2.6678 -1.5402 7.1613
H 0.0000 3.0805 7.1613
H 1.5212 -0.8783 9.2792
H 0.0000 1.7566 9.2792
Br 0.0000 0.0000 5.7887
```

Output
Density   2.26 g/cm³
N(E_F)   0.000 states/eV per cell
Magnetization   0.000 μB per cell
E   -4.9542 eV per atom
Space-group type   R-3m, No. 166